Entry 1:
The following is a PBE calculation of an optimized crystal structure of AgOs2Pb, from Alexandria via LeMat-Bulk.

Values from the calculation:
energy relative to the elements = 1.154 eV/atom
total energy = -6.101 eV per atom
symmetry = Cmmm (65)

a = 4.9253 Å, b = 4.9253 Å, c = 3.0153 Å
α = 90.00°, β = 90.00°, γ = 108.83°
With the nearest neighbours (Å) after each atom.
Fractional positions:
Ag 0.0000 0.0000 0.0000  2 Pb 2.87, 8 Os 2.89, 2 Ag 3.02
Os 0.0000 0.5000 0.5000  4 Os 2.87-3.02, 4 Pb 2.89, 4 Ag 2.89
Os 0.5000 0.0000 0.5000  4 Os 2.87-3.02, 4 Pb 2.89, 4 Ag 2.89
Pb 0.5000 0.5000 0.0000  2 Ag 2.87, 8 Os 2.89, 2 Pb 3.02



Entry 2:
The following is a PBE calculation of an optimized crystal structure of AgOs2Pb, from Alexandria via LeMat-Bulk.

Values from the calculation:
energy relative to the elements = 1.215 eV/atom
total energy = -6.039 eV per atom
symmetry = Cmmm (65)

a = 2.8416 Å, b = 2.8416 Å, c = 10.2970 Å
α = 90.00°, β = 90.00°, γ = 118.83°
With the nearest neighbours (Å) after each atom.
Fractional positions:
Ag 0.0000 0.0000 0.0000  4 Os 2.81, 6 Ag 2.84-2.89
Os 0.5000 0.5000 0.2336  2 Ag 2.81, 6 Os 2.84-2.89, 2 Pb 3.10
Os 0.5000 0.5000 0.7664  2 Ag 2.81, 6 Os 2.84-2.89, 2 Pb 3.10
Pb 0.0000 0.0000 0.5000  6 Pb 2.84-2.89, 4 Os 3.10



Entry 3:
The following is a PBE calculation of an optimized crystal structure of AgOs2Pb, from Alexandria via LeMat-Bulk.

Values from the calculation:
energy relative to the elements = 0.992 eV/atom
total energy = -6.263 eV per atom
symmetry = P2/m (10)

a = 2.9182 Å, b = 4.7597 Å, c = 5.1975 Å
α = 90.00°, β = 90.26°, γ = 90.00°
With the nearest neighbours (Å) after each atom.
Fractional positions:
Ag 0.0000 0.0000 0.0000  4 Os 2.74, 2 Ag 2.92, 4 Pb 2.97-2.99
Os 0.2751 0.5000 0.7895  2 Os 2.55-2.72, 2 Ag 2.74
Os 0.7249 0.5000 0.2105  2 Os 2.55-2.72, 2 Ag 2.74
Pb 0.5000 0.0000 0.5000  4 Os 2.89, 2 Pb 2.92, 4 Ag 2.97-2.99



Entry 4:
The following is a PBE calculation of an optimized crystal structure of AgOs2Pb, from Alexandria via LeMat-Bulk.

Values from the calculation:
energy relative to the elements = 1.046 eV/atom
total energy = -6.209 eV per atom
symmetry = I-4m2 (119)

a = 4.8770 Å, b = 4.8770 Å, c = 4.8770 Å
α = 128.42°, β = 128.42°, γ = 75.94°
With the nearest neighbours (Å) after each atom.
Fractional positions:
Ag 0.0000 0.0000 0.0000  4 Pb 2.86, 8 Os 2.86-3.00
Os 0.2500 0.7500 0.5000  4 Os 2.86, 4 Ag 2.86, 4 Pb 3.00
Os 0.5000 0.5000 0.0000  4 Pb 2.86, 4 Os 2.86, 4 Ag 3.00
Pb 0.7500 0.2500 0.5000  8 Os 2.86-3.00, 4 Ag 2.86



Entry 5:
The following is a PBE calculation of an optimized crystal structure of AgOs2Pb, from Alexandria via LeMat-Bulk.

Values from the calculation:
energy relative to the elements = 0.941 eV/atom
total energy = -6.314 eV per atom
symmetry = C2/m (12)

a = 4.9537 Å, b = 4.9537 Å, c = 5.3063 Å
α = 103.61°, β = 103.61°, γ = 34.60°
With the nearest neighbours (Å) after each atom.
Fractional positions:
Ag 0.0000 0.0000 0.0000  6 Os 2.79-2.82, 2 Ag 2.95, 4 Pb 3.03
Os 0.2431 0.2431 0.7916  4 Os 2.63-2.95, 3 Ag 2.79-2.82, 2 Pb 2.85
Os 0.7569 0.7569 0.2084  4 Os 2.63-2.95, 3 Ag 2.79-2.82, 2 Pb 2.85
Pb 0.5000 0.5000 0.5000  6 Os 2.85-3.19, 2 Pb 2.95, 4 Ag 3.03



Entry 6:
The following is a PBE calculation of an optimized crystal structure of AgOs2Pb, from Alexandria via LeMat-Bulk.

Values from the calculation:
energy relative to the elements = 1.076 eV/atom
total energy = -6.179 eV per atom
symmetry = F-43m (216)

a = 4.6264 Å, b = 4.6264 Å, c = 4.6264 Å
α = 60.00°, β = 60.00°, γ = 60.00°
With the nearest neighbours (Å) after each atom.
Fractional positions:
Ag 0.0000 0.0000 0.0000  4 Pb 2.83, 4 Os 2.83
Os 0.5000 0.5000 0.5000  4 Pb 2.83, 4 Os 2.83
Os 0.7500 0.7500 0.7500  4 Os 2.83, 4 Ag 2.83
Pb 0.2500 0.2500 0.2500  4 Os 2.83, 4 Ag 2.83



Entry 7:
The following is a PBE calculation of an optimized crystal structure of Ag2OsPb2, from Alexandria via LeMat-Bulk.

Values from the calculation:
energy above the most stable polymorph in this dataset = 0 meV per atom
energy relative to the elements = 0.701 eV/atom
total energy = -4.169 eV per atom
symmetry = I4/mmm (139)

a = 9.0272 Å, b = 9.0272 Å, c = 9.0272 Å
α = 156.79°, β = 156.79°, γ = 33.06°
With the nearest neighbours (Å) after each atom.
Fractional positions:
Ag 0.2500 0.7500 0.5000  4 Ag 2.57
Ag 0.7500 0.2500 0.5000  4 Ag 2.57
Os 0.0000 0.0000 0.0000  8 Pb 3.03
Pb 0.4073 0.4073 0.0000  4 Os 3.03, 1 Pb 3.21, 4 Ag 3.27
Pb 0.5927 0.5927 0.0000  4 Os 3.03, 1 Pb 3.21, 4 Ag 3.27



Entry 8:
The following is a PBE calculation of an optimized crystal structure of AgOs2Pb, from Alexandria via LeMat-Bulk.

Values from the calculation:
energy relative to the elements = 0.521 eV/atom
total energy = -6.734 eV per atom
symmetry = P4mm (99)

a = 2.9334 Å, b = 2.9334 Å, c = 8.7295 Å
α = 90.00°, β = 90.00°, γ = 90.00°
With the nearest neighbours (Å) after each atom.
Fractional positions:
Ag 0.0000 0.0000 0.0000  4 Ag 2.93, 4 Os 2.94
Os 0.0000 0.0000 0.4161  4 Os 2.59
Os 0.5000 0.5000 0.2381  4 Os 2.59
Pb 0.5000 0.5000 0.6816  4 Pb 2.93, 4 Os 3.11



Entry 9:
The following is a PBE calculation of an optimized crystal structure of AgOs2Pb, from Alexandria via LeMat-Bulk.

Values from the calculation:
energy relative to the elements = 0.754 eV/atom
total energy = -6.501 eV per atom
symmetry = Cm (8)

a = 4.2295 Å, b = 4.2295 Å, c = 7.2579 Å
α = 98.11°, β = 98.11°, γ = 39.56°
With the nearest neighbours (Å) after each atom.
Fractional positions:
Ag 0.0000 0.0000 0.0000  3 Os 2.86-3.01, 2 Ag 2.86, 3 Pb 3.15-3.18
Os 0.4915 0.4915 0.4017  3 Os 2.36-2.55
Os 0.7395 0.7395 0.2600  3 Os 2.36-2.55
Pb 0.2363 0.2363 0.6892  2 Pb 2.86, 3 Os 3.00-3.12, 3 Ag 3.15-3.18



Entry 10:
The following is a PBE calculation of an optimized crystal structure of AgOsPb4, from Alexandria via LeMat-Bulk.

Values from the calculation:
energy relative to the elements = 1.160 eV/atom
total energy = -3.659 eV per atom
symmetry = F-43m (216)

a = 6.1836 Å, b = 6.1836 Å, c = 6.1836 Å
α = 60.00°, β = 60.00°, γ = 60.00°
With the nearest neighbours (Å) after each atom.
Fractional positions:
Ag 0.0000 0.0000 0.0000  12 Pb 3.63, 4 Os 3.79
Os 0.7500 0.7500 0.7500  12 Pb 3.62, 4 Ag 3.79
Pb 0.3756 0.3756 0.3756  6 Pb 3.08-3.11
Pb 0.3756 0.3756 0.8733  6 Pb 3.08-3.11
Pb 0.3756 0.8733 0.3756  6 Pb 3.08-3.11
Pb 0.8733 0.3756 0.3756  6 Pb 3.08-3.11



Entry 11:
The following is a PBE calculation of an optimized crystal structure of Ag4OsPb, from Alexandria via LeMat-Bulk.

Values from the calculation:
energy relative to the elements = 0.746 eV/atom
total energy = -3.644 eV per atom
symmetry = F-43m (216)

a = 5.4723 Å, b = 5.4723 Å, c = 5.4723 Å
α = 60.00°, β = 60.00°, γ = 60.00°
With the nearest neighbours (Å) after each atom.
Fractional positions:
Ag 0.1244 0.1244 0.1244  6 Ag 2.72-2.75
Ag 0.1244 0.1244 0.6267  6 Ag 2.72-2.75
Ag 0.1244 0.6267 0.1244  6 Ag 2.72-2.75
Ag 0.6267 0.1244 0.1244  6 Ag 2.72-2.75
Os 0.7500 0.7500 0.7500  12 Ag 3.21, 4 Pb 3.35
Pb 0.5000 0.5000 0.5000  12 Ag 3.21, 4 Os 3.35



Entry 12:
The following is a PBE calculation of an optimized crystal structure of AgOs2Pb, from Alexandria via LeMat-Bulk.

Values from the calculation:
energy relative to the elements = 1.047 eV/atom
total energy = -6.207 eV per atom
symmetry = Pmmm (47)

a = 2.9487 Å, b = 4.8760 Å, c = 4.8781 Å
α = 90.00°, β = 90.00°, γ = 90.00°
With the nearest neighbours (Å) after each atom.
Fractional positions:
Ag 0.0000 0.0000 0.0000  4 Os 2.85, 4 Pb 2.85, 2 Ag 2.95
Os 0.0000 0.5000 0.5000  4 Pb 2.85, 6 Os 2.85-2.95
Os 0.5000 0.5000 0.0000  4 Ag 2.85, 6 Os 2.85-2.95
Pb 0.5000 0.0000 0.5000  4 Os 2.85, 4 Ag 2.85, 2 Pb 2.95



Entry 13:
The following is a PBE calculation of an optimized crystal structure of AgOs2Pb, from Alexandria via LeMat-Bulk.

Values from the calculation:
energy relative to the elements = 1.132 eV/atom
total energy = -6.123 eV per atom
symmetry = Pmmm (47)

a = 2.8529 Å, b = 4.4177 Å, c = 5.8734 Å
α = 90.00°, β = 90.00°, γ = 90.00°
With the nearest neighbours (Å) after each atom.
Fractional positions:
Ag 0.0000 0.0000 0.0000  2 Ag 2.85, 8 Os 2.89, 2 Pb 2.94
Os 0.5000 0.5000 0.2046  1 Os 2.40
Os 0.5000 0.5000 0.7954  1 Os 2.40
Pb 0.0000 0.0000 0.5000  2 Pb 2.85, 2 Ag 2.94, 8 Os 3.15



Entry 14:
The following is a PBE calculation of an optimized crystal structure of AgOsPb3, from Alexandria via LeMat-Bulk.

Values from the calculation:
energy above the most stable polymorph in this dataset = 0 meV per atom
energy relative to the elements = 0.593 eV/atom
total energy = -4.448 eV per atom
symmetry = Pm-3m (221)

a = 5.2971 Å, b = 5.2971 Å, c = 5.2971 Å
α = 90.00°, β = 90.00°, γ = 90.00°
With the nearest neighbours (Å) after each atom.
Fractional positions:
Ag 0.0000 0.0000 0.0000  12 Pb 3.75
Os 0.5000 0.5000 0.5000  6 Pb 2.65
Pb 0.0000 0.5000 0.5000  2 Os 2.65
Pb 0.5000 0.0000 0.5000  2 Os 2.65
Pb 0.5000 0.5000 0.0000  2 Os 2.65